(1)
Here is a crystal of KAgI2 relaxed with PBEsol from Alexandria via LeMat-Bulk. Energies are from meta-GGA SCAN.

a = 7.2634 Å, b = 7.2634 Å, c = 7.2634 Å
α = 106.70°, β = 110.87°, γ = 110.87°
Atoms (fractional coordinates):
Ag1 0.0000 0.0000 0.0000
I1 0.0617 0.3750 0.9367
K1 0.5000 0.2500 0.7500
I2 0.9383 0.8750 0.3133
I3 0.4383 0.0633 0.1250
Ag2 0.5000 0.7500 0.2500
K2 0.0000 0.5000 0.5000
I4 0.5617 0.6867 0.6250

Output
- space group = I-42d, No. 122
- ΔE_f (raw) (eV per atom) = -0.893
- magnetization (μB per formula unit) = 0.00



(2)
Here is a crystal of AlMo3Pt relaxed with PBEsol from Alexandria via LeMat-Bulk. Energies are from meta-GGA SCAN.

a = 4.7066 Å, b = 4.7066 Å, c = 4.7066 Å
α = 90.00°, β = 90.00°, γ = 90.00°
Atoms (fractional coordinates):
Mo1 0.0000 0.5000 0.0000
Mo2 0.5000 0.0000 0.0000
Pt1 0.0000 0.0000 0.0000
Mo3 0.0000 0.0000 0.5000
Al1 0.5000 0.5000 0.5000

Output
- space group = Pm-3m, No. 221
- ΔE_f (meV/atom) = 1634
- magnetization (μB per formula unit) = 0.00



(3)
Here is a crystal of MnFeOs2Au relaxed with PBEsol from Alexandria via LeMat-Bulk. Energies are from meta-GGA SCAN.

a = 4.3171 Å, b = 4.3171 Å, c = 4.6801 Å
α = 90.00°, β = 90.00°, γ = 90.00°
Each line ends with the local moment (μB).
Atoms (fractional coordinates):
Au1 0.0000 0.0000 0.5000  0.06
Mn1 0.5000 0.5000 0.5000  4.43
Fe1 0.0000 0.0000 0.0000  0.21
Os1 0.0000 0.5000 0.0000  0.15
Os2 0.5000 0.0000 0.0000  0.15

Output
- space group = P4/mmm, No. 123
- ΔE_f (meV/atom) = 1451
- magnetization (μB per formula unit) = 5.20



no.,total DFT energy (no corrections) (eV/atom)
1,-29.19
2,-34.89
3,-48.41